An optimized crystal structure of SrMgP2Cl, computed with PBE.

Values from the calculation:
As for the energy: -3.711 eV per atom. The total moment comes out at 0.090 μB/atom. The calculation puts the energy relative to the lowest polymorph listed for this composition at 0 meV per atom. As for the density of states at the Fermi level: 4.478 states/eV/f.u.

Cell: 4.8239 4.8239 5.3094 Å, 90.00 90.00 90.00°
Space group P4/mmm (No. 123)
One atom of each set of equivalent atoms:
Sr  0.0000  0.0000  0.0000 [1 per cell]
Mg  0.5000  0.5000  0.5000 [1 per cell]
P  0.0000  0.5000  0.5000 [2 per cell]
Cl  0.5000  0.5000  0.0000 [1 per cell]

---

An optimized crystal structure of MgTaPCl2, computed with PBE.

Values from the calculation:
As for the energy: -4.230 eV per atom. The total moment comes out at 0.394 μB/atom. The calculation puts the energy relative to the lowest polymorph listed for this composition at 542 meV per atom. As for the density of states at the Fermi level: 5.876 states/eV/f.u.

Cell: 4.3578 4.3578 6.4277 Å, 90.00 90.00 90.00°
Space group P4/mmm (No. 123)
One atom of each set of equivalent atoms:
Mg  0.0000  0.0000  0.0000 [1 per cell]
Ta  0.5000  0.5000  0.5000 [1 per cell]
P  0.0000  0.0000  0.5000 [1 per cell]
Cl  0.0000  0.5000  0.0000 [2 per cell]

---

An optimized crystal structure of MgTaP2Cl, computed with PBE.

Values from the calculation:
As for the energy: -5.315 eV per atom. The total moment comes out at 0.000 μB/atom. The calculation puts the energy relative to the lowest polymorph listed for this composition at 0 meV per atom. As for the density of states at the Fermi level: 1.833 states/eV/f.u.

Cell: 4.8686 4.8686 4.8134 Å, 90.00 90.00 90.00°
Space group P4/mmm (No. 123)
One atom of each set of equivalent atoms:
Mg  0.0000  0.0000  0.0000 [1 per cell]
Ta  0.5000  0.5000  0.5000 [1 per cell]
P  0.0000  0.5000  0.5000 [2 per cell]
Cl  0.5000  0.5000  0.0000 [1 per cell]

---

An optimized crystal structure of MgTaP2Cl, computed with PBE.

Values from the calculation:
As for the energy: -4.315 eV per atom. The total moment comes out at 0.000 μB/atom. The calculation puts the energy relative to the lowest polymorph listed for this composition at 1000 meV per atom. As for the density of states at the Fermi level: 5.881 states/eV/f.u.

Cell: 4.7891 4.7891 4.4110 Å, 90.00 90.00 90.00°
Space group P4/mmm (No. 123)
One atom of each set of equivalent atoms:
Mg  0.0000  0.0000  0.0000 [1 per cell]
Ta  0.5000  0.5000  0.5000 [1 per cell]
P  0.0000  0.5000  0.0000 [2 per cell]
Cl  0.0000  0.0000  0.5000 [1 per cell]

---

An optimized crystal structure of MgTaPCl2, computed with PBE.

Values from the calculation:
As for the energy: -4.772 eV per atom. The total moment comes out at 0.000 μB/atom. The calculation puts the energy relative to the lowest polymorph listed for this composition at 0 meV per atom. As for the density of states at the Fermi level: 3.138 states/eV/f.u.

Cell: 4.8162 4.8162 4.9994 Å, 90.00 90.00 90.00°
Space group P4/mmm (No. 123)
One atom of each set of equivalent atoms:
Mg  0.0000  0.0000  0.0000 [1 per cell]
Ta  0.5000  0.5000  0.5000 [1 per cell]
P  0.5000  0.5000  0.0000 [1 per cell]
Cl  0.0000  0.5000  0.5000 [2 per cell]

---

An optimized crystal structure of MgTeP2Cl, computed with PBE.

Values from the calculation:
As for the energy: -2.853 eV per atom. The total moment comes out at 0.000 μB/atom. The calculation puts the energy relative to the lowest polymorph listed for this composition at 281 meV per atom. As for the density of states at the Fermi level: 3.488 states/eV/f.u.

Cell: 5.1013 5.1013 5.1762 Å, 90.00 90.00 90.00°
Space group P4/mmm (No. 123)
One atom of each set of equivalent atoms:
Mg  0.0000  0.0000  0.0000 [1 per cell]
Te  0.5000  0.5000  0.5000 [1 per cell]
P  0.0000  0.5000  0.5000 [2 per cell]
Cl  0.5000  0.5000  0.0000 [1 per cell]

---

An optimized crystal structure of MgTeP2Cl, computed with PBE.

Values from the calculation:
As for the energy: -3.134 eV per atom. The total moment comes out at 0.000 μB/atom. The calculation puts the energy relative to the lowest polymorph listed for this composition at 0 meV per atom. As for the density of states at the Fermi level: 2.979 states/eV/f.u.

Cell: 5.0362 5.0362 4.5531 Å, 90.00 90.00 90.00°
Space group P4/mmm (No. 123)
One atom of each set of equivalent atoms:
Mg  0.0000  0.0000  0.0000 [1 per cell]
Te  0.5000  0.5000  0.5000 [1 per cell]
P  0.0000  0.5000  0.0000 [2 per cell]
Cl  0.0000  0.0000  0.5000 [1 per cell]

---

An optimized crystal structure of MgTiPCl2, computed with PBE.

Values from the calculation:
As for the energy: -3.960 eV per atom. The total moment comes out at 0.202 μB/atom. The calculation puts the energy relative to the lowest polymorph listed for this composition at 408 meV per atom. As for the density of states at the Fermi level: 1.672 states/eV/f.u.

Cell: 4.4968 4.4968 5.7386 Å, 90.00 90.00 90.00°
Space group P4/mmm (No. 123)
One atom of each set of equivalent atoms:
Mg  0.0000  0.0000  0.0000 [1 per cell]
Ti  0.5000  0.5000  0.5000 [1 per cell]
P  0.0000  0.0000  0.5000 [1 per cell]
Cl  0.0000  0.5000  0.0000 [2 per cell]

---

Q: The lowest energy belongs to which entry?
A: number 3

---

Q: Among the records above, which one has the highest total moment?
A: number 2